No. 1
Below is a relaxed structure of RbZn4Sb3O12, with properties calculated at the GGA-PBE level.

Lattice parameters (Å, degrees): 7.037 7.037 7.037 108.59 108.59 108.59
Atoms (fractional coordinates):
Sb (0.441, 0.000, 0.559)
Sb (0.559, 0.441, 0.000)
Sb (0.000, 0.559, 0.441)
Zn (0.937, 0.063, 0.500)
Zn (0.500, 0.500, 0.500)
Zn (0.500, 0.937, 0.063)
Zn (0.063, 0.500, 0.937)
O (0.500, 0.108, 0.892)
O (0.244, 0.345, 0.934)
O (0.667, 0.500, 0.333)
O (0.333, 0.667, 0.500)
O (0.500, 0.333, 0.667)
O (0.892, 0.500, 0.108)
O (0.756, 0.066, 0.655)
O (0.066, 0.655, 0.756)
O (0.655, 0.756, 0.066)
O (0.934, 0.244, 0.345)
O (0.108, 0.892, 0.500)
O (0.345, 0.934, 0.244)
Rb (0.000, 0.000, 0.000)

Summary:
Symmetry = R32


No. 2
Below is a relaxed structure of Er2Co15Cu2, with properties calculated at the GGA-PBE level.

Lattice parameters (Å, degrees): 6.259 6.259 6.259 83.51 83.51 83.51
Last column: magnetic moment on the atom in μB.
Atoms (fractional coordinates):
Co (0.000, 0.289, 0.711)  1.53
Co (0.000, 0.711, 0.289)  1.53
Co (0.350, 0.350, 0.846)  1.48
Co (0.500, 0.000, 0.000)  1.53
Co (0.289, 0.000, 0.711)  1.53
Co (0.000, 0.000, 0.500)  1.53
Co (0.350, 0.846, 0.350)  1.48
Co (0.711, 0.289, 0.000)  1.53
Co (0.289, 0.711, 0.000)  1.53
Co (0.650, 0.650, 0.154)  1.48
Co (0.846, 0.350, 0.350)  1.48
Co (0.650, 0.154, 0.650)  1.48
Co (0.154, 0.650, 0.650)  1.48
Co (0.000, 0.500, 0.000)  1.53
Co (0.711, 0.000, 0.289)  1.53
Er (0.656, 0.656, 0.656)  -0.38
Er (0.344, 0.344, 0.344)  -0.38
Cu (0.898, 0.898, 0.898)  0.04
Cu (0.102, 0.102, 0.102)  0.04

Summary:
Energy of formation from the pure elements = -0.079 eV per atom
DOS at the Fermi energy = 22.05 states/eV/cell
Symmetry = R-3m


Computed values of electronic total energy (unit: eV per atom) for the preceding records, in sequence: -5.29; -6.60.
Computed values of magnetic moment (unit: μB/f.u.) for the preceding records, in sequence: 0.00; 21.53.